DFT (PBE-GGA) results for crystalline BaCaCr at its relaxed geometry.

## Properties
formation enthalpy at 0 K	0.62	eV per atom
energy relative to the lowest polymorph listed for this composition	0.91	eV/f.u.
raw total energy	-11.68	eV for the cell shown
DOS at the Fermi energy	3.3	states/eV/cell
space group	No. 47

a = 5.299 Å, b = 6.068 Å, c = 3.829 Å
α = 90.00°, β = 90.00°, γ = 90.00°
Sites, in units of the cell vectors:
Ca1 0.500 0.000 0.628
Cr1 0.000 0.000 0.128
Ba1 0.000 0.500 0.626



DFT (PBE-GGA) results for crystalline Rb2AgPb2 at its relaxed geometry.

## Properties
formation enthalpy at 0 K	-0.07	eV per atom
energy relative to the lowest polymorph listed for this composition	0.00	eV/f.u.
raw total energy	-25.14	eV for the cell shown
DOS at the Fermi energy	2.9	states/eV/cell
space group	No. 15

a = 7.948 Å, b = 6.670 Å, c = 9.800 Å
α = 89.72°, β = 90.00°, γ = 126.57°
Sites, in units of the cell vectors:
Rb1 0.330 0.635 0.753
Rb2 0.305 0.635 0.253
Rb3 0.670 0.365 0.247
Rb4 0.695 0.365 0.747
Pb1 0.807 0.996 0.491
Pb2 0.189 0.996 0.991
Pb3 0.811 0.004 0.009
Pb4 0.193 0.004 0.509
Ag1 0.977 0.000 0.750
Ag2 0.023 0.000 0.250